# Rb3SrHg2Cl9

Rb3SrHg2Cl9 after structural relaxation (PBE, Alexandria via LeMat-Bulk).

The structure belongs to space group P-3m1 (No. 164); the cell edges are 7.6732, 7.6732 and 9.6877 Å and the angles 90.00°, 90.00° and 120.00°. The inequivalent atoms are Rb at (0.0000, 0.0000, 0.0000), Rb at (0.3333, 0.6667, 0.7158), Sr at (0.0000, 0.0000, 0.5000), Hg at (0.3333, 0.6667, 0.1641), Cl at (0.0000, 0.5000, 0.0000) and Cl at (0.1673, 0.3347, 0.3169).

As for the total energy: -2.94 eV/atom.


# Cs2AlO

Cs2AlO after structural relaxation (PBE, Alexandria via LeMat-Bulk).

The structure belongs to space group Fm-3m (No. 225); the cell edges are 8.101, 8.101 and 8.101 Å and the angles 90.00°, 90.00° and 90.00°. The inequivalent atoms are Cs at (0.250, 0.250, 0.250), Al at (0.000, 0.000, 0.000) and O at (0.000, 0.000, 0.500).

The polymorph energy (0 for the lowest one) is 901.6 meV per atom.